VASP calculation (PBE) on a geometry-optimized SnTePb2Se5 structure.

Computed properties:
Formation energy from raw total energies = -240 kJ/mol of formula units
Magnetic moment = 0.000 μB/atom

Unit cell a=4.6974 b=18.6142 c=12.2218 alpha=90.00 beta=90.00 gamma=90.00
Space group Cmc2_1 (No. 36)
Symmetry-distinct sites (fractional):
Sn 0.0000 0.0595 0.0000
Te 0.0000 0.2801 0.5916
Pb 0.0000 0.3749 0.2438
Pb 0.0000 0.3780 0.8642
Se 0.0000 0.0211 0.3248
Se 0.0000 0.1431 0.5537
Se 0.0000 0.1800 0.8860
Se 0.0000 0.2169 0.2037
Se 0.0000 0.4551 0.6035



VASP calculation (PBE) on a geometry-optimized TiSn2PbSe structure.

Computed properties:
Formation energy from raw total energies = 475 kJ/mol of formula units
Magnetic moment = 0.040 μB/atom

Unit cell a=5.7489 b=5.7489 c=5.3067 alpha=90.00 beta=90.00 gamma=90.00
Space group P4/mmm (No. 123)
Symmetry-distinct sites (fractional):
Ti 0.0000 0.0000 0.0000
Sn 0.0000 0.5000 0.5000
Pb 0.0000 0.0000 0.5000
Se 0.5000 0.5000 0.0000



VASP calculation (PBE) on a geometry-optimized TlSn2PbSe4 structure.

Computed properties:
Formation energy from raw total energies = -340 kJ/mol of formula units
Magnetic moment = 0.000 μB/atom

Unit cell a=7.4702 b=4.2752 c=7.5556 alpha=90.00 beta=108.96 gamma=90.00
Space group P2/m (No. 10)
Symmetry-distinct sites (fractional):
Tl 0.0000 0.0000 0.0000
Sn 0.0000 0.5000 0.5000
Sn 0.5000 0.0000 0.5000
Pb 0.5000 0.5000 0.0000
Se 0.2540 0.0000 0.7350
Se 0.2658 0.5000 0.2710



VASP calculation (PBE) on a geometry-optimized Tl2Sn2PbSe4 structure.

Computed properties:
Formation energy from raw total energies = -359 kJ/mol of formula units
Magnetic moment = 0.000 μB/atom

Unit cell a=17.3748 b=4.2132 c=8.7426 alpha=90.00 beta=118.69 gamma=90.00
Space group C2/m (No. 12)
Symmetry-distinct sites (fractional):
Tl 0.1075 0.0000 0.2004
Sn 0.2033 0.5000 0.8375
Pb 0.0000 0.0000 0.5000
Se 0.0380 0.5000 0.7914
Se 0.1976 0.0000 0.6206